First-principles (PBE) data for crystalline ScCr2Ge at its relaxed geometry, as listed in the Alexandria database.

Computed properties:
The space-group type is I-42d, No. 122. Its calculated formation energy is 0.5161 eV/atom.

Geometry as extended XYZ:
```
8
Lattice="-3.213 -5.192 -3.949 5.903 -4.188 0.703 0.292 -5.789 0.679" Properties=species:S:1:pos:R:3 pbc="T T T"
Sc 1.345 -4.690 -1.623
Sc 3.770 -7.333 -0.121
Cr -1.354 -5.469 -2.403
Cr 3.517 -4.460 0.308
Cr 0.940 -7.655 -0.743
Cr 2.860 -12.753 -2.297
Ge 0.000 0.000 0.000
Ge -0.788 -7.835 -2.447
```